DFT (GGA-PBEsol) results for YCrSi3 after structural relaxation.

a = 5.1156 Å, b = 5.1156 Å, c = 5.1156 Å
α = 90.00°, β = 90.00°, γ = 90.00°
Last column: nearest neighbours and their distance in Å.
Fractional positions:
Y  0.0000  0.0000  0.0000  6 Si 2.56
Cr  0.5000  0.5000  0.5000  12 Si 3.62
Si  0.0000  0.0000  0.5000  2 Y 2.56
Si  0.0000  0.5000  0.0000  2 Y 2.56
Si  0.5000  0.0000  0.0000  2 Y 2.56

Output
The calculation puts the total magnetic moment at 4.3 μB/cell. Its density of states at the Fermi level is 3.22 states/eV/f.u. For the raw total energy, the calculation gives -26.9 eV per cell. For the raw formation energy, the calculation gives 1489 meV/atom.